1.
Below is a relaxed ScZnHg2 crystal, with properties calculated at the PBE-GGA level.

Lattice parameters (Å, degrees): 3.466 3.466 6.973 90.00 90.00 90.00
Space group P4mm (No. 99)
Inequivalent atoms, fractional coordinates:
1 Sc 0.000 0.000 0.000 (multiplicity 1)
2 Zn 0.500 0.500 0.232 (multiplicity 1)
3 Hg 0.000 0.000 0.456 (multiplicity 1)
4 Hg 0.500 0.500 0.747 (multiplicity 1)

Calculated values
DOS at the Fermi energy: 2.61 states/eV/cell
ΔE_f: -55 kJ/mol of formula units
Calculated volume: 83.8 Å³/cell
Final energy: -8.78 eV per cell

=====

2.
Below is a relaxed ZrScZnHg2 crystal, with properties calculated at the PBE-GGA level.

Lattice parameters (Å, degrees): 5.424 5.424 5.037 90.00 90.00 90.00
Space group P4/mmm (No. 123)
Inequivalent atoms, fractional coordinates:
1 Zr 0.000 0.000 0.000 (multiplicity 1)
2 Sc 0.000 0.000 0.500 (multiplicity 1)
3 Zn 0.500 0.500 0.000 (multiplicity 1)
4 Hg 0.000 0.500 0.500 (multiplicity 2)

Calculated values
DOS at the Fermi energy: 5.28 states/eV/cell
ΔE_f: 400 kJ/mol of formula units
Calculated volume: 148.2 Å³/cell
Final energy: -12.62 eV per cell

=====

3.
Below is a relaxed ZrScZnHg crystal, with properties calculated at the PBE-GGA level.

Lattice parameters (Å, degrees): 3.349 3.349 7.202 90.00 90.00 90.00
Space group P4mm (No. 99)
Inequivalent atoms, fractional coordinates:
1 Zr 0.000 0.000 0.000 (multiplicity 1)
2 Sc 0.000 0.000 0.537 (multiplicity 1)
3 Zn 0.500 0.500 0.766 (multiplicity 1)
4 Hg 0.500 0.500 0.282 (multiplicity 1)

Calculated values
DOS at the Fermi energy: 4.07 states/eV/cell
ΔE_f: -116 kJ/mol of formula units
Calculated volume: 80.8 Å³/cell
Final energy: -17.65 eV per cell

=====

4.
Below is a relaxed ZrSc2Hg6 crystal, with properties calculated at the PBE-GGA level.

Lattice parameters (Å, degrees): 13.869 11.241 5.233 90.00 100.20 90.00
Space group C2/c (No. 15)
Inequivalent atoms, fractional coordinates:
1 Zr 0.000 0.113 0.250 (multiplicity 4)
2 Sc 0.165 0.376 0.083 (multiplicity 8)
3 Hg 0.055 0.372 0.526 (multiplicity 8)
4 Hg 0.113 0.130 0.806 (multiplicity 8)
5 Hg 0.224 0.125 0.360 (multiplicity 8)

Calculated values
DOS at the Fermi energy: 18.21 states/eV/cell
ΔE_f: -159 kJ/mol of formula units
Calculated volume: 802.9 Å³/cell
Final energy: -98.67 eV per cell

=====

5.
Below is a relaxed ZrSc5Hg3 crystal, with properties calculated at the PBE-GGA level.

Lattice parameters (Å, degrees): 8.5856 8.5856 6.2889 90.00 90.00 120.00
Space group P6_3/mcm (No. 193)
Inequivalent atoms, fractional coordinates:
1 Zr 0.0000 0.0000 0.0000 (multiplicity 2)
2 Sc 0.0000 0.3223 0.2500 (multiplicity 6)
3 Sc 0.3333 0.6667 0.0000 (multiplicity 4)
4 Hg 0.0000 0.3445 0.7500 (multiplicity 6)

Calculated values
DOS at the Fermi energy: 15.03 states/eV/cell
ΔE_f: -252 kJ/mol of formula units
Calculated volume: 401.5 Å³/cell
Final energy: -87.45 eV per cell

=====

6.
Below is a relaxed Zr2ScHg3 crystal, with properties calculated at the PBE-GGA level.

Lattice parameters (Å, degrees): 3.251 3.251 12.279 90.00 90.00 90.00
Space group P4/mmm (No. 123)
Inequivalent atoms, fractional coordinates:
1 Zr 0.000 0.000 0.168 (multiplicity 2)
2 Sc 0.000 0.000 0.500 (multiplicity 1)
3 Hg 0.500 0.500 0.000 (multiplicity 1)
4 Hg 0.500 0.500 0.337 (multiplicity 2)

Calculated values
DOS at the Fermi energy: 5.77 states/eV/cell
ΔE_f: -141 kJ/mol of formula units
Calculated volume: 129.8 Å³/cell
Final energy: -25.80 eV per cell

=====

Question: Which of these has the highest final energy?
Answer: ScZnHg2